1.
Entry from Alexandria via LeMat-Bulk: a relaxed PaPt2 crystal (PBE).

Results
- Symmetry: C2/m
- Total DFT energy (no corrections): -8.175 eV per atom
- Total magnetization: 0.0 μB/f.u.

Cell: 3.6604 3.6604 5.1546 Å, 110.71 110.71 89.99°
With the nearest neighbours (Å) after each atom.
Element x y z (fractional)
Pa1 0.0000 0.0000 0.0000  10 Pt 2.97-3.00
Pt1 0.3366 0.3366 0.6729  5 Pt 2.92-3.02, 5 Pa 2.97-3.00
Pt2 0.6634 0.6634 0.3271  5 Pt 2.92-3.02, 5 Pa 2.97-3.00

2.
Entry from Alexandria via LeMat-Bulk: a relaxed Tb5NdDyY2 crystal (PBE).

Results
- Symmetry: Cmc2_1
- Total DFT energy (no corrections): -4.897 eV per atom
- Total magnetization: 0.0 μB/f.u.

Cell: 10.3403 10.3403 10.5976 Å, 90.00 90.00 148.30°
With the nearest neighbours (Å) after each atom.
Element x y z (fractional)
Tb1 0.0188 0.9812 0.5000  2 Nd 3.20, 2 Y 3.41-3.42
Tb2 0.2821 0.7179 0.7872  1 Nd 3.06, 1 Y 3.34
Tb3 0.2981 0.7019 0.1831  4 Tb 3.43-3.80, 3 Dy 3.51-3.75, 3 Y 3.53-3.73, 1 Nd 3.57
Tb4 0.3891 0.6109 0.4983  6 Tb 3.48-3.82, 4 Y 3.55-3.60, 1 Dy 3.75
Tb5 0.4791 0.5209 0.2136  2 Nd 3.10-3.27
Tb6 0.5209 0.4791 0.7136  2 Nd 3.10-3.27
Tb7 0.6109 0.3891 0.9983  6 Tb 3.48-3.82, 4 Y 3.55-3.60, 1 Dy 3.75
Tb8 0.7019 0.2981 0.6831  4 Tb 3.43-3.80, 3 Dy 3.51-3.75, 3 Y 3.53-3.73, 1 Nd 3.57
Tb9 0.7179 0.2821 0.2872  1 Nd 3.06, 1 Y 3.34
Tb10 0.9812 0.0188 0.0000  2 Nd 3.20, 2 Y 3.41-3.42
Nd1 0.4157 0.5843 0.9292  5 Tb 3.06-3.27
Nd2 0.5843 0.4157 0.4292  5 Tb 3.06-3.27
Dy1 0.2010 0.7990 0.4869  2 Y 3.44-3.70, 8 Tb 3.51-3.75, 2 Nd 3.71
Dy2 0.7990 0.2010 0.9869  2 Y 3.44-3.70, 8 Tb 3.51-3.75, 2 Nd 3.71
Y1 0.1112 0.8888 0.2095  7 Tb 3.41-3.73, 1 Dy 3.44, 2 Nd 3.70
Y2 0.1143 0.8857 0.7958  9 Tb 3.34-3.67, 1 Dy 3.70
Y3 0.8857 0.1143 0.2958  9 Tb 3.34-3.67, 1 Dy 3.70
Y4 0.8888 0.1112 0.7095  7 Tb 3.41-3.73, 1 Dy 3.44, 2 Nd 3.70

3.
Entry from Alexandria via LeMat-Bulk: a relaxed PrYMg6 crystal (PBE).

Results
- Symmetry: P-6m2
- Energy relative to the lowest polymorph listed for this composition: 17 meV/atom
- Total DFT energy (no corrections): -2.695 eV per atom
- Total magnetization: 0.0 μB/f.u.

Cell: 6.7630 6.7630 5.2213 Å, 90.00 90.00 120.00°
With the nearest neighbours (Å) after each atom.
Element x y z (fractional)
Pr1 0.0000 0.0000 0.0000  12 Mg 3.30-3.38
Y1 0.6667 0.3333 0.5000  12 Mg 3.28-3.38
Mg1 0.0057 0.5028 0.0000  8 Mg 3.23-3.44, 2 Y 3.28, 2 Pr 3.38
Mg2 0.1722 0.3444 0.5000  8 Mg 3.23-3.49, 2 Pr 3.30, 2 Y 3.38
Mg3 0.1722 0.8278 0.5000  8 Mg 3.23-3.49, 2 Pr 3.30, 2 Y 3.38
Mg4 0.4972 0.5028 0.0000  8 Mg 3.23-3.44, 2 Y 3.28, 2 Pr 3.38
Mg5 0.4972 0.9943 0.0000  8 Mg 3.23-3.44, 2 Y 3.28, 2 Pr 3.38
Mg6 0.6556 0.8278 0.5000  8 Mg 3.23-3.49, 2 Pr 3.30, 2 Y 3.38

How do the records compare in formation energy from the elements? In the order shown, they have -284; 133; -72 kJ/mol of formula units.